Hf4Ga3H | PBE | relaxed

Summary:
SG ... Pmn2_1, No. 31
Uncorrected energy ... -6.8699 eV per atom

Geometry as POSCAR:
```
Hf4Ga3H
1.0
-4.637 2.543 -1.630
-2.799 -2.515 4.039
1.861 7.023 5.663
Hf Ga H
8 6 2
Direct
0.769 0.414 0.500
0.269 0.586 0.000
0.033 0.155 0.178
0.533 0.845 0.678
0.020 0.937 0.500
0.533 0.845 0.322
0.520 0.063 0.000
0.033 0.155 0.822
0.013 0.653 0.258
0.513 0.347 0.758
0.513 0.347 0.242
0.260 0.427 0.500
0.013 0.653 0.742
0.760 0.573 0.000
0.376 0.968 0.500
0.876 0.032 0.000
```



Hf2GaH | PBE | relaxed

Summary:
Distance to the lowest polymorph of the same formula ... 0.106 eV per atom
SG ... I-42d, No. 122

Geometry as POSCAR:
```
Hf2GaH
1.0
-3.900 -0.177 -5.052
-5.012 -0.701 3.894
-4.779 2.655 -0.438
Ga Hf H
2 4 2
Direct
0.750 0.250 0.500
0.000 0.000 0.000
0.375 0.451 0.750
0.875 0.799 0.750
0.201 0.625 0.250
0.549 0.125 0.250
0.250 0.750 0.500
0.500 0.500 0.000
```



HfGaH | PBE | relaxed

Summary:
Distance to the lowest polymorph of the same formula ... 0.012 eV per atom
SG ... P3m1, No. 156

Geometry as POSCAR:
```
HfGaH
1.0
4.428 0.000 0.000
0.000 3.315 0.000
0.000 -1.657 2.871
H Ga Hf
1 1 1
Direct
0.175 0.333 0.667
0.663 0.667 0.333
0.162 0.000 0.000
```